Computed, not measured: an optimized crystal structure of Ca3InAg2 at the PBE-GGA level of DFT.

```
data_Ca3InAg2
_space_group_name_H-M_alt 'C m m m'
_space_group_IT_number 65
_space_group_name_Hall '-C 2 2'
_cell_length_a 5.446
_cell_length_b 16.249
_cell_length_c 3.598
_cell_angle_alpha 90.00
_cell_angle_beta 90.00
_cell_angle_gamma 90.00
loop_
_atom_site_label
_atom_site_type_symbol
_atom_site_fract_x
_atom_site_fract_y
_atom_site_fract_z
Ca1 Ca 0.000 0.000 0.000
Ca2 Ca 0.000 0.328 0.000
In1 In 0.000 0.500 0.500
Ag1 Ag 0.000 0.161 0.500
```

Properties
Density of states at the Fermi level (states/eV/f.u.): 2.71
Total energy (eV per formula unit): -16.61